FeIF2 | GGA+U | relaxed

Output
Calculated volume, Å³/f.u.: 90.8
Calculated total energy, eV per atom: -3.670
Offset from the most stable computed form, meV per atom: 578

Unit cell a=10.0915 b=10.0915 c=10.0915 alpha=18.54 beta=18.54 gamma=18.54
Fractional positions:
Fe1 0.0000 0.0000 0.0000
I1 0.5000 0.5000 0.5000
F1 0.0591 0.0591 0.0591
F2 0.9409 0.9409 0.9409